a:
The following is a PBE+U calculation of a relaxed structure of Na3CoF, from Alexandria via LeMat-Bulk.

- Magnetization: 2.055 μB/cell
- Symmetry: Pm-3m (221)
- V: 167 Å³/f.u.

abc: 5.5023 5.5023 5.5023
angles: 90.00 90.00 90.00
With the nearest neighbours (Å) after each atom.
Sites, in units of the cell vectors:
Na (0.0000, 0.0000, 0.5000)  2 Co 2.75
Na (0.0000, 0.5000, 0.0000)  2 Co 2.75
F (0.5000, 0.5000, 0.5000)  12 Na 3.89
Co (0.0000, 0.0000, 0.0000)  6 Na 2.75
Na (0.5000, 0.0000, 0.0000)  2 Co 2.75

---

b:
The following is a PBE+U calculation of a relaxed structure of Na3CoF, from Alexandria via LeMat-Bulk.

- Magnetization: 2.044 μB/cell
- Symmetry: Pm-3m (221)
- V: 107 Å³/f.u.

abc: 4.7431 4.7431 4.7431
angles: 90.00 90.00 90.00
With the nearest neighbours (Å) after each atom.
Sites, in units of the cell vectors:
Co (0.5000, 0.5000, 0.5000)  12 Na 3.35
Na (0.5000, 0.0000, 0.0000)  2 F 2.37
Na (0.0000, 0.0000, 0.5000)  2 F 2.37
Na (0.0000, 0.5000, 0.0000)  2 F 2.37
F (0.0000, 0.0000, 0.0000)  6 Na 2.37

---

Short version: a is the least stable of them.

---

a:
The following is a PBE+U calculation of a relaxed structure of Na3CoF8, from Alexandria via LeMat-Bulk.

- Magnetization: 6.018 μB/cell
- Symmetry: I4/mmm (139)
- V: 149 Å³/f.u.

abc: 5.3249 5.3249 6.4726
angles: 114.29 114.29 90.00
With the nearest neighbours (Å) after each atom.
Sites, in units of the cell vectors:
Co (0.0000, 0.0000, 0.0000)  8 F 2.05
Na (0.2500, 0.7500, 0.5000)  8 F 2.38
Na (0.7500, 0.2500, 0.5000)  8 F 2.38
Na (0.5000, 0.5000, 0.0000)  8 F 2.40
F (0.6651, 0.1096, 0.7748)  1 Co 2.05
F (0.8904, 0.8904, 0.2252)  1 Co 2.05
F (0.3349, 0.8904, 0.2252)  1 Co 2.05
F (0.1096, 0.6651, 0.7748)  1 Co 2.05
F (0.1096, 0.1096, 0.7748)  1 Co 2.05
F (0.8904, 0.3349, 0.2252)  1 Co 2.05
F (0.3349, 0.3349, 0.2252)  1 Co 2.05
F (0.6651, 0.6651, 0.7748)  1 Co 2.05

---

b:
The following is a PBE+U calculation of a relaxed structure of Na3CoF8, from Alexandria via LeMat-Bulk.

- Magnetization: 2.000 μB/cell
- Symmetry: C222 (21)
- V: 188 Å³/f.u.

abc: 5.7850 5.7850 6.7991
angles: 90.00 90.00 124.17
With the nearest neighbours (Å) after each atom.
Sites, in units of the cell vectors:
Na (0.0000, 0.5000, 0.2605)  4 F 2.24-2.25
F (0.3222, 0.6778, 0.5000)  1 Co 1.82
F (0.2757, 0.2653, 0.6904)  1 Co 1.80
F (0.7243, 0.7347, 0.6904)  1 Co 1.80
F (0.7242, 0.2758, 0.0000)  3 Na 2.25-2.29
Na (0.5000, 0.0000, 0.7395)  4 F 2.24-2.25
Na (0.5000, 0.5000, 0.0000)  6 F 2.29-2.45
F (0.7347, 0.7243, 0.3096)  1 Co 1.80
F (0.2758, 0.7242, 0.0000)  3 Na 2.25-2.29
Co (0.5000, 0.5000, 0.5000)  6 F 1.80-1.82
F (0.6778, 0.3222, 0.5000)  1 Co 1.82
F (0.2653, 0.2757, 0.3096)  1 Co 1.80

---

Short version: a is the least stable of them.

---

a:
The following is a PBE+U calculation of a relaxed structure of RbNa2CoF6, from Alexandria via LeMat-Bulk.

- Magnetization: 0.129 μB/cell
- Symmetry: Fm-3m (225)
- V: 172 Å³/f.u.

abc: 6.2391 6.2391 6.2391
angles: 60.00 60.00 60.00
With the nearest neighbours (Å) after each atom.
Sites, in units of the cell vectors:
F (0.7894, 0.2106, 0.2106)  1 Co 1.86
Rb (0.5000, 0.5000, 0.5000)  6 F 2.55
Na (0.2500, 0.2500, 0.2500)  12 F 3.14
F (0.2106, 0.7894, 0.7894)  1 Co 1.86
F (0.2106, 0.7894, 0.2106)  1 Co 1.86
F (0.7894, 0.7894, 0.2106)  1 Co 1.86
F (0.2106, 0.2106, 0.7894)  1 Co 1.86
F (0.7894, 0.2106, 0.7894)  1 Co 1.86
Na (0.7500, 0.7500, 0.7500)  12 F 3.14
Co (0.0000, 0.0000, 0.0000)  6 F 1.86

---

b:
The following is a PBE+U calculation of a relaxed structure of RbNa2CoF6, from Alexandria via LeMat-Bulk.

- Magnetization: 7.872 μB/cell
- Symmetry: P2_1/c (14)
- V: 153 Å³/f.u.

abc: 5.9811 5.9117 8.6361
angles: 90.00 90.72 90.00
With the nearest neighbours (Å) after each atom.
Sites, in units of the cell vectors:
F (0.7397, 0.3691, 0.8920)  1 Co 1.96
F (0.7604, 0.8693, 0.6079)  1 Co 1.96
F (0.1656, 0.4411, 0.8062)  1 Co 1.99
Na (0.5056, 0.5733, 0.7278)  4 F 2.26-2.42
F (0.2396, 0.1307, 0.3921)  1 Co 1.96
F (0.6655, 0.0589, 0.3062)  1 Co 1.99
Rb (0.5000, 0.0000, 0.0000)  6 F 2.78-2.83
F (0.0897, 0.2085, 0.0622)  1 Co 1.88
Co (0.0000, 0.5000, 0.0000)  6 F 1.88-1.99
F (0.3345, 0.9411, 0.6938)  1 Co 1.99
F (0.9103, 0.7915, 0.9378)  1 Co 1.88
Co (0.5000, 0.0000, 0.5000)  6 F 1.88-1.99
Na (0.4944, 0.4267, 0.2722)  4 F 2.26-2.42
F (0.5897, 0.2916, 0.5621)  1 Co 1.88
F (0.8344, 0.5589, 0.1938)  1 Co 1.99
F (0.2603, 0.6309, 0.1080)  1 Co 1.96
Na (0.9945, 0.0732, 0.7722)  4 F 2.26-2.42
Rb (0.0000, 0.5000, 0.5000)  6 F 2.78-2.83
Na (0.0055, 0.9268, 0.2278)  4 F 2.26-2.42
F (0.4103, 0.7084, 0.4379)  1 Co 1.88

---

Short version: a is the least stable of them.

---

a:
The following is a PBE+U calculation of a relaxed structure of Nb2CoF, from Alexandria via LeMat-Bulk.

- Magnetization: 0.535 μB/cell
- Symmetry: Fm-3m (225)
- V: 57 Å³/f.u.

abc: 4.3219 4.3219 4.3219
angles: 60.00 60.00 60.00
With the nearest neighbours (Å) after each atom.
Sites, in units of the cell vectors:
Co (0.5000, 0.5000, 0.5000)  8 Nb 2.65
Nb (0.7500, 0.7500, 0.7500)  4 F 2.65, 4 Co 2.65
F (0.0000, 0.0000, 0.0000)  8 Nb 2.65
Nb (0.2500, 0.2500, 0.2500)  4 F 2.65, 4 Co 2.65

---

b:
The following is a PBE+U calculation of a relaxed structure of Nb2CoF, from Alexandria via LeMat-Bulk.

- Magnetization: 0.015 μB/cell
- Symmetry: I-42d (122)
- V: 65 Å³/f.u.

abc: 4.4854 4.4854 7.2175
angles: 71.90 71.90 90.00
With the nearest neighbours (Å) after each atom.
Sites, in units of the cell vectors:
Co (0.7500, 0.2500, 0.5000)  4 Nb 2.33
F (0.5000, 0.5000, 0.0000)  4 Nb 2.21
Co (0.0000, 0.0000, 0.0000)  4 Nb 2.33
Nb (0.8750, 0.8481, 0.7500)  2 F 2.21, 2 Co 2.33
Nb (0.5981, 0.1250, 0.2500)  2 F 2.21, 2 Co 2.33
Nb (0.3750, 0.4019, 0.7500)  2 F 2.21, 2 Co 2.33
Nb (0.1519, 0.6250, 0.2500)  2 F 2.21, 2 Co 2.33
F (0.2500, 0.7500, 0.5000)  4 Nb 2.21

---

Short version: b is the least stable of them.